# Na2Sc2Al2PdPt

Crystalline Na2Sc2Al2PdPt at its relaxed geometry (PBE, OQMD).

Its total DFT energy (no corrections) is -4.693 eV per atom. The crystal system is tetragonal. For the total magnetization, the calculation gives 0.03 μB per formula unit.

It has space group P-4m2 (No. 115), with a = 4.639 Å, b = 4.639 Å, c = 6.568 Å, α = 90.00°, β = 90.00° and γ = 90.00°. Symmetry generates all atoms from Na at (0.000, 0.000, 0.000), Na at (0.500, 0.500, 0.500), Sc at (0.000, 0.500, 0.245), Al at (0.000, 0.500, 0.755), Pd at (0.000, 0.000, 0.500) and Pt at (0.500, 0.500, 0.000).